Record 1
PBE-GGA Th2Al4GaAg3, optimized geometry; Fermi-level density of states = 0.26 states/eV per atom; crystal system = tetragonal; electronic total energy = -0.16474 hartree per atom; space-group type = P-4m2 (115); formation enthalpy at 0 K = -0.3437 eV per atom; magnetic moment = 0.000 μB/f.u.
1.0
4.353 0.000 0.000
0.000 4.353 0.000
0.000 0.000 10.839
Th Al Ga Ag
2 4 1 3
Direct
0.500 0.000 0.254 Th
0.000 0.500 0.746 Th
0.500 0.500 0.000 Al
0.000 0.000 0.000 Al
0.500 0.000 0.635 Al
0.000 0.500 0.365 Al
0.500 0.500 0.500 Ga
0.000 0.000 0.500 Ag
0.500 0.000 0.867 Ag
0.000 0.500 0.133 Ag

***

Record 2
PBE-GGA Pt2RhBr, optimized geometry; Fermi-level density of states = 1.19 states/eV per atom; crystal system = orthorhombic; electronic total energy = -0.17367 hartree per atom; energy above the most stable polymorph in this dataset = 164.3 meV per atom; space-group type = Imm2 (44); magnetic moment = 0.000 μB/f.u.
1.0
-3.392 -2.827 -3.411
-3.570 -3.673 2.215
1.835 5.235 -0.607
Rh Br Pt
1 1 2
Direct
0.502 0.502 0.000 Rh
0.730 0.230 0.500 Br
0.007 0.007 0.000 Pt
0.262 0.762 0.500 Pt

***

Record 3
PBE-GGA PrDy2PuP4, optimized geometry; Fermi-level density of states = 1.52 states/eV per atom; crystal system = monoclinic; electronic total energy = -0.28283 hartree per atom; space-group type = P2/m (10); formation enthalpy at 0 K = -1.4518 eV per atom; magnetic moment = 4.886 μB/f.u.
1.0
4.061 0.000 0.000
0.000 7.018 0.122
0.000 -2.454 6.562
Pr Dy Pu P
1 2 1 4
Direct
0.500 0.500 0.000 Pr
0.500 0.000 0.500 Dy
0.000 0.500 0.500 Dy
0.000 0.000 0.000 Pu
0.500 0.243 0.251 P
0.500 0.757 0.749 P
0.000 0.240 0.743 P
0.000 0.760 0.257 P

***

Record 4
PBE-GGA Pt2Au, optimized geometry; Fermi-level density of states = 1.72 states/eV per atom; crystal system = orthorhombic; electronic total energy = -0.18583 hartree per atom; energy above the most stable polymorph in this dataset = 22.9 meV per atom; space-group type = Cmcm (63); formation enthalpy at 0 K = 0.0631 eV per atom; magnetic moment = 0.000 μB/f.u.
1.0
6.326 0.004 0.000
-5.019 3.851 0.000
0.000 0.000 4.039
Au Pt
2 4
Direct
0.916 0.084 0.250 Au
0.084 0.916 0.750 Au
0.584 0.416 0.250 Pt
0.252 0.748 0.250 Pt
0.416 0.584 0.750 Pt
0.748 0.252 0.750 Pt

***

Record 5
PBE-GGA NbCoMo, optimized geometry; Fermi-level density of states = 0.91 states/eV per atom; crystal system = trigonal; electronic total energy = -0.33720 hartree per atom; energy above the most stable polymorph in this dataset = 225.4 meV per atom; space-group type = P3m1 (156); formation enthalpy at 0 K = 0.1600 eV per atom; magnetic moment = 1.900 μB/f.u.
1.0
-2.007 1.726 0.046
-2.302 -2.602 -2.798
-0.390 -0.570 4.407
Mo Co Nb
1 1 1
Direct
0.659 0.333 0.667 Mo
0.338 0.667 0.333 Co
0.004 0.000 0.000 Nb

***

Record 6
PBE-GGA LiGaBi, optimized geometry; Fermi-level density of states = 0.41 states/eV per atom; crystal system = monoclinic; electronic total energy = -0.11272 hartree per atom; energy above the most stable polymorph in this dataset = 31.2 meV per atom; space-group type = Cm (8); formation enthalpy at 0 K = -0.1268 eV per atom; magnetic moment = 0.000 μB/f.u.
1.0
-4.142 -1.008 -2.031
2.791 -3.807 -0.117
0.425 0.911 4.586
Li Ga Bi
1 1 1
Direct
0.942 0.967 0.908 Li
0.444 0.205 0.649 Ga
0.947 0.495 0.443 Bi

***

Record 7
PBE-GGA CaCdTc2, optimized geometry; Fermi-level density of states = 0.85 states/eV per atom; crystal system = trigonal; electronic total energy = -0.19024 hartree per atom; space-group type = R-3m (166); formation enthalpy at 0 K = 0.7354 eV per atom; magnetic moment = 0.000 μB/f.u.
1.0
-2.574 -7.052 6.760
-3.707 -8.307 4.394
-0.901 -8.704 5.048
Ca Tc Cd
1 2 1
Direct
0.250 0.250 0.250 Ca
0.003 0.003 0.003 Tc
0.497 0.497 0.497 Tc
0.750 0.750 0.750 Cd

***

Record 8
PBE-GGA La6ZnN2, optimized geometry; Fermi-level density of states = 1.13 states/eV per atom; crystal system = monoclinic; electronic total energy = -0.21684 hartree per atom; space-group type = C2/m (12); magnetic moment = 0.000 μB/f.u.
1.0
5.397 0.000 0.000
-2.699 8.738 0.444
0.000 -1.920 5.044
La Zn N
6 1 2
Direct
0.892 0.785 0.892 La
0.752 0.504 0.252 La
0.248 0.496 0.748 La
0.608 0.215 0.609 La
0.392 0.785 0.391 La
0.108 0.215 0.108 La
0.000 0.000 0.500 Zn
0.750 0.500 0.750 N
0.250 0.500 0.250 N

***

Record 9
PBE-GGA LiSi2MoP, optimized geometry; Fermi-level density of states = 1.03 states/eV per atom; crystal system = tetragonal; electronic total energy = -0.17297 hartree per atom; space-group type = P4/mmm (123); magnetic moment = 0.000 μB/f.u.
1.0
-3.330 2.669 -1.882
-2.818 -0.763 3.904
1.843 3.755 2.064
P Mo Si Li
1 1 2 1
Direct
0.500 0.500 0.500 P
0.000 0.000 0.000 Mo
0.000 0.000 0.500 Si
0.500 0.000 0.000 Si
0.000 0.500 0.000 Li